(1)
Material: YAl2In
Method: DFT, PBE-GGA
State: optimized geometry

Lattice parameters (Å, degrees): 5.6290 5.6290 5.6290 135.26 135.26 65.12
Positions (direct):
1 Al 0.2500 0.7500 0.5000
2 Al 0.0000 0.0000 0.0000
3 Y 0.7500 0.2500 0.5000
4 In 0.5000 0.5000 0.0000

Density (g cm⁻³): 4.913

***

(2)
Material: DyNiAu
Method: DFT, PBE-GGA
State: optimized geometry

Lattice parameters (Å, degrees): 5.8888 4.1717 7.9505 121.52 111.64 44.98
Positions (direct):
1 Au 0.1068 0.2490 0.8072
2 Au 0.6058 0.7351 0.2927
3 Dy 0.1057 0.8001 0.3582
4 Dy 0.6069 0.1840 0.7416
5 Ni 0.1061 0.9921 0.0499
6 Ni 0.6065 0.9922 0.0500

Density (g cm⁻³): 11.800

***

(3)
Material: AcCeN
Method: DFT, PBE-GGA
State: optimized geometry

Lattice parameters (Å, degrees): 3.4276 3.4276 7.5431 103.13 103.13 90.00
Last column: magnetic moment on the atom in μB.
Positions (direct):
1 N 0.2132 0.2132 0.4264  -0.04
2 Ac 0.0371 0.0371 0.0742  0.00
3 Ce 0.7497 0.7497 0.4994  0.60

Formation energy from raw total energies (eV per atom): -0.551
Density (g cm⁻³): 7.541

***

(4)
Material: HfHN3
Method: DFT, PBE-GGA
State: optimized geometry

Lattice parameters (Å, degrees): 3.3585 3.3585 3.3585 90.00 90.00 90.00
Positions (direct):
1 Hf 0.5000 0.5000 0.5000
2 N 0.5000 0.0000 0.0000
3 N 0.0000 0.5000 0.0000
4 N 0.0000 0.0000 0.5000
5 H 0.0000 0.0000 0.0000

Density (g cm⁻³): 9.710

***

(5)
Material: ThMgAu
Method: DFT, PBE-GGA
State: optimized geometry

Lattice parameters (Å, degrees): 3.4462 3.4462 6.5328 105.29 105.29 90.00
Positions (direct):
1 Au 0.6830 0.6830 0.3660
2 Th 0.0119 0.0119 0.0239
3 Mg 0.3050 0.3050 0.6101

Density (g cm⁻³): 10.457

***

no.,final energy (eV per atom)
1,-4.4643
2,-5.1276
3,-6.6739
4,-6.8452
5,-4.4749